1.
# Ta2SiSe

A PBEsol-optimized structure of Ta2SiSe (SCAN, Alexandria).

Computed properties:
ΔE_f (raw) = 0.229 eV/atom

Geometry as POSCAR:
```
Ta2SiSe
1.0
-1.9420 1.9420 4.3254
1.9420 -1.9420 4.3254
1.9420 1.9420 -4.3254
Ta Si Se
2 1 1
direct
0.0000 0.0000 0.0000
0.7500 0.2500 0.5000
0.2500 0.7500 0.5000
0.5000 0.5000 0.0000
```



2.
# Ta2SiSe

A PBEsol-optimized structure of Ta2SiSe (SCAN, Alexandria).

Computed properties:
ΔE_f (raw) = -0.080 eV/atom

Geometry as POSCAR:
```
Ta2SiSe
1.0
0.0000 3.1655 3.1655
3.1655 0.0000 3.1655
3.1655 3.1655 0.0000
Ta Si Se
2 1 1
direct
0.2500 0.2500 0.2500
0.7500 0.7500 0.7500
0.0000 0.0000 0.0000
0.5000 0.5000 0.5000
```